*i*
MgBi2Cl: optimized geometry, PBE-GGA.

Geometry as extended XYZ:
```
8
Lattice="-0.319 -2.224 -3.922 0.724 -3.906 2.156 -11.543 -4.320 0.786" Properties=species:S:1:pos:R:3 pbc="T T T"
Mg 0.202 -3.065 -0.883
Mg -5.309 -5.646 1.030
Bi -2.985 -2.888 -1.861
Bi -2.483 -3.869 0.930
Bi -8.483 -5.662 -0.005
Bi -8.326 -8.481 -1.023
Cl 0.000 0.000 0.000
Cl -5.830 -4.805 -2.009
```

Density   6.51 Mg/m³
Crystal system   tetragonal
SG   No. 122

*ii*
MgBi2Cl: optimized geometry, PBE-GGA.

Geometry as extended XYZ:
```
4
Lattice="0.000 3.761 3.761 3.761 0.000 3.761 3.761 3.761 0.000" Properties=species:S:1:pos:R:3 pbc="T T T"
Mg 0.000 0.000 0.000
Bi 1.880 1.880 1.880
Bi 5.641 5.641 5.641
Cl 3.761 3.761 3.761
```

Density   7.46 Mg/m³
Crystal system   cubic
SG   No. 225

The most stable structure shown above is *i*; the least stable is *ii*.